Entry 1:
DFT (PBE-GGA) results for an optimized crystal structure of Er4ScAg.

Computed properties:
ΔE to the lowest computed polymorph (eV/atom): 0.000
Total magnetic moment (Bohr magnetons per cell): 0.0
Space-group type: No. 123
E (eV/f.u.): -27.839
Mass density (g/cm³): 8.35

Structure (CIF):
```
data_Er4ScAg
_cell_length_a 3.4723
_cell_length_b 3.4723
_cell_length_c 13.5538
_cell_angle_alpha 90.00
_cell_angle_beta 90.00
_cell_angle_gamma 90.00
_symmetry_space_group_name_H-M 'P 1'
_symmetry_Int_Tables_number 1
loop_
_symmetry_equiv_pos_as_xyz
'x,y,z'
loop_
_atom_site_label
_atom_site_fract_x
_atom_site_fract_y
_atom_site_fract_z
_atom_site_occupancy
Er1 0.0000 0.0000 0.1429 1
Er2 0.0000 0.0000 0.8571 1
Er3 0.5000 0.5000 0.3301 1
Er4 0.5000 0.5000 0.6699 1
Sc1 0.0000 0.0000 0.5000 1
Ag1 0.5000 0.5000 0.0000 1
```



Entry 2:
DFT (PBE-GGA) results for an optimized crystal structure of ErSc2Ag2.

Computed properties:
Total magnetic moment (Bohr magnetons per cell): 0.0
Space-group type: No. 63
E (eV/f.u.): -24.023
Mass density (g/cm³): 7.01

Structure (CIF):
```
data_ErSc2Ag2
_cell_length_a 12.9716
_cell_length_b 12.9716
_cell_length_c 5.0253
_cell_angle_alpha 90.00
_cell_angle_beta 90.00
_cell_angle_gamma 164.64
_symmetry_space_group_name_H-M 'P 1'
_symmetry_Int_Tables_number 1
loop_
_symmetry_equiv_pos_as_xyz
'x,y,z'
loop_
_atom_site_label
_atom_site_fract_x
_atom_site_fract_y
_atom_site_fract_z
_atom_site_occupancy
Er1 0.1461 0.8539 0.7500 1
Er2 0.8539 0.1461 0.2500 1
Sc1 0.0474 0.9526 0.2500 1
Sc2 0.2358 0.7642 0.2500 1
Sc3 0.7642 0.2358 0.7500 1
Sc4 0.9526 0.0474 0.7500 1
Ag1 0.3570 0.6430 0.7500 1
Ag2 0.4558 0.5442 0.2500 1
Ag3 0.5442 0.4558 0.7500 1
Ag4 0.6430 0.3570 0.2500 1
```



Entry 3:
DFT (PBE-GGA) results for an optimized crystal structure of ErScAg.

Computed properties:
ΔE to the lowest computed polymorph (eV/atom): 0.115
Total magnetic moment (Bohr magnetons per cell): 0.0
Space-group type: No. 156
E (eV/f.u.): -13.869
Mass density (g/cm³): 7.36

Structure (CIF):
```
data_ErScAg
_cell_length_a 4.8756
_cell_length_b 4.8756
_cell_length_c 3.5061
_cell_angle_alpha 90.00
_cell_angle_beta 90.00
_cell_angle_gamma 120.00
_symmetry_space_group_name_H-M 'P 1'
_symmetry_Int_Tables_number 1
loop_
_symmetry_equiv_pos_as_xyz
'x,y,z'
loop_
_atom_site_label
_atom_site_fract_x
_atom_site_fract_y
_atom_site_fract_z
_atom_site_occupancy
Er1 0.0000 0.0000 0.0000 1
Sc1 0.3333 0.6667 0.4602 1
Ag1 0.6667 0.3333 0.6497 1
```



Entry 4:
DFT (PBE-GGA) results for an optimized crystal structure of ErSc5Ag4.

Computed properties:
Total magnetic moment (Bohr magnetons per cell): 0.0
Space-group type: No. 123
E (eV/f.u.): -49.628
Mass density (g/cm³): 6.30

Structure (CIF):
```
data_ErSc5Ag4
_cell_length_a 3.4157
_cell_length_b 3.4157
_cell_length_c 18.6186
_cell_angle_alpha 90.00
_cell_angle_beta 90.00
_cell_angle_gamma 90.00
_symmetry_space_group_name_H-M 'P 1'
_symmetry_Int_Tables_number 1
loop_
_symmetry_equiv_pos_as_xyz
'x,y,z'
loop_
_atom_site_label
_atom_site_fract_x
_atom_site_fract_y
_atom_site_fract_z
_atom_site_occupancy
Er1 0.0000 0.0000 0.0000 1
Sc1 0.5000 0.5000 0.1266 1
Sc2 0.5000 0.5000 0.3129 1
Sc3 0.5000 0.5000 0.5000 1
Sc4 0.5000 0.5000 0.6871 1
Sc5 0.5000 0.5000 0.8734 1
Ag1 0.0000 0.0000 0.2198 1
Ag2 0.0000 0.0000 0.4076 1
Ag3 0.0000 0.0000 0.5924 1
Ag4 0.0000 0.0000 0.7802 1
```



Entry 5:
DFT (PBE-GGA) results for an optimized crystal structure of ErSc2Ag.

Computed properties:
ΔE to the lowest computed polymorph (eV/atom): 0.095
Total magnetic moment (Bohr magnetons per cell): 0.8
Space-group type: No. 123
E (eV/f.u.): -20.127
Mass density (g/cm³): 6.43

Structure (CIF):
```
data_ErSc2Ag
_cell_length_a 4.4575
_cell_length_b 4.4575
_cell_length_c 4.7481
_cell_angle_alpha 90.00
_cell_angle_beta 90.00
_cell_angle_gamma 90.00
_symmetry_space_group_name_H-M 'P 1'
_symmetry_Int_Tables_number 1
loop_
_symmetry_equiv_pos_as_xyz
'x,y,z'
loop_
_atom_site_label
_atom_site_fract_x
_atom_site_fract_y
_atom_site_fract_z
_atom_site_occupancy
Er1 0.0000 0.0000 0.0000 1
Sc1 0.0000 0.5000 0.5000 1
Sc2 0.5000 0.0000 0.5000 1
Ag1 0.5000 0.5000 0.0000 1
```



Entry 6:
DFT (PBE-GGA) results for an optimized crystal structure of ErScAg.

Computed properties:
ΔE to the lowest computed polymorph (eV/atom): 0.233
Total magnetic moment (Bohr magnetons per cell): 0.0
Space-group type: No. 216
E (eV/f.u.): -13.517
Mass density (g/cm³): 6.59

Structure (CIF):
```
data_ErScAg
_cell_length_a 4.8504
_cell_length_b 4.8504
_cell_length_c 4.8504
_cell_angle_alpha 60.00
_cell_angle_beta 60.00
_cell_angle_gamma 60.00
_symmetry_space_group_name_H-M 'P 1'
_symmetry_Int_Tables_number 1
loop_
_symmetry_equiv_pos_as_xyz
'x,y,z'
loop_
_atom_site_label
_atom_site_fract_x
_atom_site_fract_y
_atom_site_fract_z
_atom_site_occupancy
Er1 0.0000 0.0000 0.0000 1
Sc1 0.5000 0.5000 0.5000 1
Ag1 0.7500 0.7500 0.7500 1
```



Entry 7:
DFT (PBE-GGA) results for an optimized crystal structure of ErSc2Ag.

Computed properties:
ΔE to the lowest computed polymorph (eV/atom): 0.329
Total magnetic moment (Bohr magnetons per cell): 0.0
Space-group type: No. 166
E (eV/f.u.): -19.188
Mass density (g/cm³): 6.12

Structure (CIF):
```
data_ErSc2Ag
_cell_length_a 11.1570
_cell_length_b 11.1570
_cell_length_c 11.1570
_cell_angle_alpha 16.62
_cell_angle_beta 16.62
_cell_angle_gamma 16.62
_symmetry_space_group_name_H-M 'P 1'
_symmetry_Int_Tables_number 1
loop_
_symmetry_equiv_pos_as_xyz
'x,y,z'
loop_
_atom_site_label
_atom_site_fract_x
_atom_site_fract_y
_atom_site_fract_z
_atom_site_occupancy
Er1 0.0000 0.0000 0.0000 1
Sc1 0.0964 0.0964 0.0964 1
Sc2 0.9036 0.9036 0.9036 1
Ag1 0.5000 0.5000 0.5000 1
```



Entry 8:
DFT (PBE-GGA) results for an optimized crystal structure of Er5ScAg6.

Computed properties:
Total magnetic moment (Bohr magnetons per cell): 0.0
Space-group type: No. 65
E (eV/f.u.): -50.097
Mass density (g/cm³): 9.24

Structure (CIF):
```
data_Er5ScAg6
_cell_length_a 8.0339
_cell_length_b 8.0339
_cell_length_c 7.0888
_cell_angle_alpha 90.00
_cell_angle_beta 90.00
_cell_angle_gamma 143.09
_symmetry_space_group_name_H-M 'P 1'
_symmetry_Int_Tables_number 1
loop_
_symmetry_equiv_pos_as_xyz
'x,y,z'
loop_
_atom_site_label
_atom_site_fract_x
_atom_site_fract_y
_atom_site_fract_z
_atom_site_occupancy
Er1 0.0000 0.0000 0.0000 1
Er2 0.3322 0.6678 0.0000 1
Er3 0.3344 0.6656 0.5000 1
Er4 0.6656 0.3344 0.5000 1
Er5 0.6678 0.3322 0.0000 1
Sc1 0.0000 0.0000 0.5000 1
Ag1 0.1631 0.8369 0.2555 1
Ag2 0.1631 0.8369 0.7445 1
Ag3 0.5000 0.5000 0.2564 1
Ag4 0.5000 0.5000 0.7436 1
Ag5 0.8369 0.1631 0.2555 1
Ag6 0.8369 0.1631 0.7445 1
```



Which of these has the highest E? number 6